# K2Li2PuCl6 (PBE-GGA, optimized geometry)
data_K2Li2PuCl6
_cell_length_a 8.4506
_cell_length_b 8.4506
_cell_length_c 8.4506
_cell_angle_alpha 53.29
_cell_angle_beta 53.29
_cell_angle_gamma 53.29
_symmetry_space_group_name_H-M 'P 1'
_symmetry_Int_Tables_number 1
loop_
_symmetry_equiv_pos_as_xyz
'x,y,z'
loop_
_atom_site_label
_atom_site_type_symbol
_atom_site_fract_x
_atom_site_fract_y
_atom_site_fract_z
_atom_site_occupancy
K1 K 0.2007 0.2007 0.2007 1
K2 K 0.7993 0.7993 0.7993 1
Li1 Li 0.4168 0.4168 0.4168 1
Li2 Li 0.5832 0.5832 0.5832 1
Pu1 Pu 0.0000 0.0000 0.0000 1
Cl1 Cl 0.2345 0.7507 0.7507 1
Cl2 Cl 0.2493 0.2493 0.7655 1
Cl3 Cl 0.2493 0.7655 0.2493 1
Cl4 Cl 0.7507 0.2345 0.7507 1
Cl5 Cl 0.7507 0.7507 0.2345 1
Cl6 Cl 0.7655 0.2493 0.2493 1
# Uncorrected energy   -4.6081 eV per atom
# Energy relative to the elements, uncorrected   -168.9 kJ per mole of atoms
# Total magnetic moment   5.9 μB per formula unit

=====

# KRbLiCl3 (PBE-GGA, optimized geometry)
data_KRbLiCl3
_cell_length_a 7.4701
_cell_length_b 7.4701
_cell_length_c 12.4281
_cell_angle_alpha 90.00
_cell_angle_beta 90.00
_cell_angle_gamma 146.42
_symmetry_space_group_name_H-M 'P 1'
_symmetry_Int_Tables_number 1
loop_
_symmetry_equiv_pos_as_xyz
'x,y,z'
loop_
_atom_site_label
_atom_site_type_symbol
_atom_site_fract_x
_atom_site_fract_y
_atom_site_fract_z
_atom_site_occupancy
K1 K 0.0000 0.0000 0.0000 1
K2 K 0.0000 0.0000 0.5000 1
Rb1 Rb 0.2509 0.7491 0.7500 1
Rb2 Rb 0.7491 0.2509 0.2500 1
Li1 Li 0.4696 0.5304 0.2500 1
Li2 Li 0.5304 0.4696 0.7500 1
Cl1 Cl 0.0614 0.9386 0.2500 1
Cl2 Cl 0.3710 0.6290 0.0994 1
Cl3 Cl 0.3710 0.6290 0.4006 1
Cl4 Cl 0.6290 0.3710 0.5994 1
Cl5 Cl 0.6290 0.3710 0.9006 1
Cl6 Cl 0.9386 0.0614 0.7500 1
# Uncorrected energy   -3.4705 eV per atom
# Energy relative to the elements, uncorrected   -181.8 kJ per mole of atoms
# Total magnetic moment   0.0 μB per formula unit

=====

# KRb2LiCl4 (PBE-GGA, optimized geometry)
data_KRb2LiCl4
_cell_length_a 7.6834
_cell_length_b 7.6834
_cell_length_c 16.3364
_cell_angle_alpha 90.00
_cell_angle_beta 90.00
_cell_angle_gamma 146.44
_symmetry_space_group_name_H-M 'P 1'
_symmetry_Int_Tables_number 1
loop_
_symmetry_equiv_pos_as_xyz
'x,y,z'
loop_
_atom_site_label
_atom_site_type_symbol
_atom_site_fract_x
_atom_site_fract_y
_atom_site_fract_z
_atom_site_occupancy
K1 K 0.1072 0.8928 0.7500 1
K2 K 0.8928 0.1072 0.2500 1
Rb1 Rb 0.3607 0.6393 0.5528 1
Rb2 Rb 0.3607 0.6393 0.9472 1
Rb3 Rb 0.6393 0.3607 0.0528 1
Rb4 Rb 0.6393 0.3607 0.4472 1
Li1 Li 0.1751 0.8249 0.2500 1
Li2 Li 0.8249 0.1751 0.7500 1
Cl1 Cl 0.0000 0.0000 0.0000 1
Cl2 Cl 0.0000 0.0000 0.5000 1
Cl3 Cl 0.2787 0.7213 0.1391 1
Cl4 Cl 0.2787 0.7213 0.3609 1
Cl5 Cl 0.4157 0.5843 0.7500 1
Cl6 Cl 0.5843 0.4157 0.2500 1
Cl7 Cl 0.7213 0.2787 0.6391 1
Cl8 Cl 0.7213 0.2787 0.8609 1
# Uncorrected energy   -3.4079 eV per atom
# Energy relative to the elements, uncorrected   -180.1 kJ per mole of atoms
# Total magnetic moment   0.1 μB per formula unit

=====

# K2RbLiCl4 (PBE-GGA, optimized geometry)
data_K2RbLiCl4
_cell_length_a 7.7214
_cell_length_b 7.7214
_cell_length_c 15.4816
_cell_angle_alpha 90.00
_cell_angle_beta 90.00
_cell_angle_gamma 147.20
_symmetry_space_group_name_H-M 'P 1'
_symmetry_Int_Tables_number 1
loop_
_symmetry_equiv_pos_as_xyz
'x,y,z'
loop_
_atom_site_label
_atom_site_type_symbol
_atom_site_fract_x
_atom_site_fract_y
_atom_site_fract_z
_atom_site_occupancy
K1 K 0.1349 0.8651 0.5496 1
K2 K 0.1349 0.8651 0.9504 1
K3 K 0.8651 0.1349 0.0496 1
K4 K 0.8651 0.1349 0.4504 1
Rb1 Rb 0.3951 0.6049 0.7500 1
Rb2 Rb 0.6049 0.3951 0.2500 1
Li1 Li 0.3315 0.6685 0.2500 1
Li2 Li 0.6685 0.3315 0.7500 1
Cl1 Cl 0.0809 0.9191 0.7500 1
Cl2 Cl 0.2327 0.7673 0.1306 1
Cl3 Cl 0.2327 0.7673 0.3694 1
Cl4 Cl 0.5000 0.5000 0.0000 1
Cl5 Cl 0.5000 0.5000 0.5000 1
Cl6 Cl 0.7673 0.2327 0.6306 1
Cl7 Cl 0.7673 0.2327 0.8694 1
Cl8 Cl 0.9191 0.0809 0.2500 1
# Uncorrected energy   -3.4607 eV per atom
# Energy relative to the elements, uncorrected   -183.6 kJ per mole of atoms
# Total magnetic moment   0.1 μB per formula unit

=====

# KLiReCl6 (PBE-GGA, optimized geometry)
data_KLiReCl6
_cell_length_a 6.5200
_cell_length_b 6.5200
_cell_length_c 13.8378
_cell_angle_alpha 90.00
_cell_angle_beta 90.00
_cell_angle_gamma 120.00
_symmetry_space_group_name_H-M 'P 1'
_symmetry_Int_Tables_number 1
loop_
_symmetry_equiv_pos_as_xyz
'x,y,z'
loop_
_atom_site_label
_atom_site_type_symbol
_atom_site_fract_x
_atom_site_fract_y
_atom_site_fract_z
_atom_site_occupancy
K1 K 0.0000 0.0000 0.0000 1
K2 K 0.0000 0.0000 0.5000 1
Li1 Li 0.3333 0.6667 0.2500 1
Li2 Li 0.6667 0.3333 0.7500 1
Re1 Re 0.3333 0.6667 0.7500 1
Re2 Re 0.6667 0.3333 0.2500 1
Cl1 Cl 0.0246 0.3804 0.6508 1
Cl2 Cl 0.0246 0.6442 0.8492 1
Cl3 Cl 0.3558 0.3804 0.8492 1
Cl4 Cl 0.3558 0.9754 0.6508 1
Cl5 Cl 0.3804 0.0246 0.1508 1
Cl6 Cl 0.3804 0.3558 0.3492 1
Cl7 Cl 0.6196 0.6442 0.6508 1
Cl8 Cl 0.6196 0.9754 0.8492 1
Cl9 Cl 0.6442 0.0246 0.3492 1
Cl10 Cl 0.6442 0.6196 0.1508 1
Cl11 Cl 0.9754 0.3558 0.1508 1
Cl12 Cl 0.9754 0.6196 0.3492 1
# Uncorrected energy   -4.1539 eV per atom
# Energy relative to the elements, uncorrected   -116.3 kJ per mole of atoms
# Total magnetic moment   3.0 μB per formula unit

=====

# KLi2ReCl8 (PBE-GGA, optimized geometry)
data_KLi2ReCl8
_cell_length_a 6.0218
_cell_length_b 6.4100
_cell_length_c 8.9211
_cell_angle_alpha 89.88
_cell_angle_beta 89.66
_cell_angle_gamma 77.66
_symmetry_space_group_name_H-M 'P 1'
_symmetry_Int_Tables_number 1
loop_
_symmetry_equiv_pos_as_xyz
'x,y,z'
loop_
_atom_site_label
_atom_site_type_symbol
_atom_site_fract_x
_atom_site_fract_y
_atom_site_fract_z
_atom_site_occupancy
K1 K 0.0000 0.0000 0.0000 1
Li1 Li 0.4982 0.5016 0.1683 1
Li2 Li 0.5018 0.4984 0.8317 1
Re1 Re 0.0000 0.0000 0.5000 1
Cl1 Cl 0.1897 0.2728 0.5019 1
Cl2 Cl 0.2473 0.8224 0.6861 1
Cl3 Cl 0.2512 0.8272 0.3124 1
Cl4 Cl 0.3193 0.3215 0.0011 1
Cl5 Cl 0.6807 0.6785 0.9989 1
Cl6 Cl 0.7488 0.1728 0.6876 1
Cl7 Cl 0.7527 0.1776 0.3139 1
Cl8 Cl 0.8103 0.7272 0.4981 1
# Uncorrected energy   -3.8391 eV per atom
# Energy relative to the elements, uncorrected   -111.9 kJ per mole of atoms
# Total magnetic moment   2.0 μB per formula unit

=====

# K2LiRhCl6 (PBE-GGA, optimized geometry)
data_K2LiRhCl6
_cell_length_a 6.9955
_cell_length_b 9.8928
_cell_length_c 6.9950
_cell_angle_alpha 90.00
_cell_angle_beta 90.00
_cell_angle_gamma 90.00
_symmetry_space_group_name_H-M 'P 1'
_symmetry_Int_Tables_number 1
loop_
_symmetry_equiv_pos_as_xyz
'x,y,z'
loop_
_atom_site_label
_atom_site_type_symbol
_atom_site_fract_x
_atom_site_fract_y
_atom_site_fract_z
_atom_site_occupancy
K1 K 0.2500 0.0001 0.2495 1
K2 K 0.2500 0.4999 0.2495 1
K3 K 0.7500 0.9999 0.7505 1
K4 K 0.7500 0.5001 0.7505 1
Li1 Li 0.2500 0.2500 0.7491 1
Li2 Li 0.7500 0.7500 0.2509 1
Rh1 Rh 0.2500 0.7500 0.7504 1
Rh2 Rh 0.7500 0.2500 0.2496 1
Cl1 Cl 0.0103 0.7500 0.5107 1
Cl2 Cl 0.0104 0.7500 0.9901 1
Cl3 Cl 0.2500 0.5103 0.7503 1
Cl4 Cl 0.2500 0.9897 0.7503 1
Cl5 Cl 0.4897 0.7500 0.5107 1
Cl6 Cl 0.4896 0.7500 0.9901 1
Cl7 Cl 0.5104 0.2500 0.0099 1
Cl8 Cl 0.5103 0.2500 0.4893 1
Cl9 Cl 0.7500 0.0103 0.2497 1
Cl10 Cl 0.7500 0.4897 0.2497 1
Cl11 Cl 0.9896 0.2500 0.0099 1
Cl12 Cl 0.9897 0.2500 0.4893 1
# Uncorrected energy   -3.6234 eV per atom
# Energy relative to the elements, uncorrected   -132.1 kJ per mole of atoms
# Total magnetic moment   0.0 μB per formula unit

=====

# KLiRhCl6 (PBE-GGA, optimized geometry)
data_KLiRhCl6
_cell_length_a 6.4084
_cell_length_b 6.4084
_cell_length_c 6.9650
_cell_angle_alpha 90.00
_cell_angle_beta 90.00
_cell_angle_gamma 120.00
_symmetry_space_group_name_H-M 'P 1'
_symmetry_Int_Tables_number 1
loop_
_symmetry_equiv_pos_as_xyz
'x,y,z'
loop_
_atom_site_label
_atom_site_type_symbol
_atom_site_fract_x
_atom_site_fract_y
_atom_site_fract_z
_atom_site_occupancy
K1 K 0.0000 0.0000 0.0000 1
Li1 Li 0.6667 0.3333 0.5000 1
Rh1 Rh 0.3333 0.6667 0.5000 1
Cl1 Cl 0.0240 0.3785 0.6940 1
Cl2 Cl 0.0240 0.6454 0.3060 1
Cl3 Cl 0.3546 0.3785 0.3060 1
Cl4 Cl 0.3546 0.9760 0.6940 1
Cl5 Cl 0.6215 0.6454 0.6940 1
Cl6 Cl 0.6215 0.9760 0.3060 1
# Uncorrected energy   -3.4756 eV per atom
# Energy relative to the elements, uncorrected   -105.5 kJ per mole of atoms
# Total magnetic moment   1.1 μB per formula unit

=====

# KLiRuCl6 (PBE-GGA, optimized geometry)
data_KLiRuCl6
_cell_length_a 6.4584
_cell_length_b 6.4584
_cell_length_c 13.8715
_cell_angle_alpha 90.00
_cell_angle_beta 90.00
_cell_angle_gamma 120.00
_symmetry_space_group_name_H-M 'P 1'
_symmetry_Int_Tables_number 1
loop_
_symmetry_equiv_pos_as_xyz
'x,y,z'
loop_
_atom_site_label
_atom_site_type_symbol
_atom_site_fract_x
_atom_site_fract_y
_atom_site_fract_z
_atom_site_occupancy
K1 K 0.0000 0.0000 0.0000 1
K2 K 0.0000 0.0000 0.5000 1
Li1 Li 0.3333 0.6667 0.2500 1
Li2 Li 0.6667 0.3333 0.7500 1
Ru1 Ru 0.3333 0.6667 0.7500 1
Ru2 Ru 0.6667 0.3333 0.2500 1
Cl1 Cl 0.0255 0.3804 0.6522 1
Cl2 Cl 0.0255 0.6451 0.8478 1
Cl3 Cl 0.3549 0.3804 0.8478 1
Cl4 Cl 0.3549 0.9745 0.6522 1
Cl5 Cl 0.3804 0.0255 0.1522 1
Cl6 Cl 0.3804 0.3549 0.3478 1
Cl7 Cl 0.6196 0.6451 0.6522 1
Cl8 Cl 0.6196 0.9745 0.8478 1
Cl9 Cl 0.6451 0.0255 0.3478 1
Cl10 Cl 0.6451 0.6196 0.1522 1
Cl11 Cl 0.9745 0.3549 0.1522 1
Cl12 Cl 0.9745 0.6196 0.3478 1
# Uncorrected energy   -3.7137 eV per atom
# Energy relative to the elements, uncorrected   -107.8 kJ per mole of atoms
# Total magnetic moment   2.0 μB per formula unit

=====

# KLiSCl2 (PBE-GGA, optimized geometry)
data_KLiSCl2
_cell_length_a 5.1333
_cell_length_b 5.1333
_cell_length_c 4.7111
_cell_angle_alpha 90.00
_cell_angle_beta 90.00
_cell_angle_gamma 90.00
_symmetry_space_group_name_H-M 'P 1'
_symmetry_Int_Tables_number 1
loop_
_symmetry_equiv_pos_as_xyz
'x,y,z'
loop_
_atom_site_label
_atom_site_type_symbol
_atom_site_fract_x
_atom_site_fract_y
_atom_site_fract_z
_atom_site_occupancy
K1 K 0.0000 0.0000 0.0000 1
Li1 Li 0.5000 0.5000 0.5000 1
S1 S 0.5000 0.5000 0.0000 1
Cl1 Cl 0.0000 0.5000 0.5000 1
Cl2 Cl 0.5000 0.0000 0.5000 1
# Uncorrected energy   -3.0696 eV per atom
# Energy relative to the elements, uncorrected   -87.1 kJ per mole of atoms
# Total magnetic moment   2.0 μB per formula unit

=====

What is the formula in the ninth record?
KLiRuCl6

=====

What did the seventh record say?
# K2LiRhCl6 (PBE-GGA, optimized geometry)
data_K2LiRhCl6
_cell_length_a 6.9955
_cell_length_b 9.8928
_cell_length_c 6.9950
_cell_angle_alpha 90.00
_cell_angle_beta 90.00
_cell_angle_gamma 90.00
_symmetry_space_group_name_H-M 'P 1'
_symmetry_Int_Tables_number 1
loop_
_symmetry_equiv_pos_as_xyz
'x,y,z'
loop_
_atom_site_label
_atom_site_type_symbol
_atom_site_fract_x
_atom_site_fract_y
_atom_site_fract_z
_atom_site_occupancy
K1 K 0.2500 0.0001 0.2495 1
K2 K 0.2500 0.4999 0.2495 1
K3 K 0.7500 0.9999 0.7505 1
K4 K 0.7500 0.5001 0.7505 1
Li1 Li 0.2500 0.2500 0.7491 1
Li2 Li 0.7500 0.7500 0.2509 1
Rh1 Rh 0.2500 0.7500 0.7504 1
Rh2 Rh 0.7500 0.2500 0.2496 1
Cl1 Cl 0.0103 0.7500 0.5107 1
Cl2 Cl 0.0104 0.7500 0.9901 1
Cl3 Cl 0.2500 0.5103 0.7503 1
Cl4 Cl 0.2500 0.9897 0.7503 1
Cl5 Cl 0.4897 0.7500 0.5107 1
Cl6 Cl 0.4896 0.7500 0.9901 1
Cl7 Cl 0.5104 0.2500 0.0099 1
Cl8 Cl 0.5103 0.2500 0.4893 1
Cl9 Cl 0.7500 0.0103 0.2497 1
Cl10 Cl 0.7500 0.4897 0.2497 1
Cl11 Cl 0.9896 0.2500 0.0099 1
Cl12 Cl 0.9897 0.2500 0.4893 1
# Uncorrected energy   -3.6234 eV per atom
# Energy relative to the elements, uncorrected   -132.1 kJ per mole of atoms
# Total magnetic moment   0.0 μB per formula unit